Arrangement P

{
  "formula": "BaCa2Cu",
  "functional": "PBE",
  "state": "relaxed",
  "dos_ef_per_ev_fu": 3.74,
  "space_group": "P4mm, No. 99",
  "cell": [[3.8756, 0.0000, 0.0000], [0.0000, 3.8756, 0.0000], [0.0000, 0.0000, 9.5814]],
  "species": ["Ba", "Ca", "Ca", "Cu"],
  "frac_coords": [[0.0000, 0.0000, 0.0000], [0.0000, 0.0000, 0.6292], [0.5000, 0.5000, 0.3402], [0.5000, 0.5000, 0.7832]]
}



Arrangement Q

{
  "formula": "BaCa2Cu",
  "functional": "PBE",
  "state": "relaxed",
  "dos_ef_per_ev_fu": 3.51,
  "space_group": "R3m, No. 160",
  "cell": [[2.1188, 1.2233, 10.1459], [-2.1188, 1.2233, 10.1459], [0.0000, -2.4466, 10.1459]],
  "species": ["Ba", "Ca", "Ca", "Cu"],
  "frac_coords": [[0.0000, 0.0000, 0.0000], [0.5523, 0.5523, 0.5523], [0.7805, 0.7805, 0.7805], [0.1663, 0.1663, 0.1663]]
}



Arrangement R

{
  "formula": "BaCa2Cu",
  "functional": "PBE",
  "state": "relaxed",
  "dos_ef_per_ev_fu": 4.27,
  "space_group": "I-42d, No. 122",
  "cell": [[-4.8357, 4.8357, 3.3686], [4.8357, -4.8357, 3.3686], [4.8357, 4.8357, -3.3686]],
  "species": ["Ba", "Ba", "Ca", "Ca", "Ca", "Ca", "Cu", "Cu"],
  "frac_coords": [[0.0000, 0.0000, 0.0000], [0.7500, 0.2500, 0.5000], [0.2250, 0.6250, 0.1000], [0.3750, 0.4750, 0.6000], [0.5250, 0.1250, 0.9000], [0.8750, 0.7750, 0.4000], [0.2500, 0.7500, 0.5000], [0.5000, 0.5000, 0.0000]]
}



Question: of the structures shown, which is the least stable? Reply: arrangement R.